Record 1
Below is Al2SeCl after structural relaxation, with properties calculated at the PBE level.

Values from the calculation:
The crystal system is trigonal. The calculation puts the offset from the most stable computed form at 0.00 eV/f.u.

Cell: 3.6117 3.6117 25.9789 Å, 90.00 90.00 120.00°
Space group R3m (No. 160, hexagonal axes)
Inequivalent atoms, fractional coordinates:
Al 0.0000 0.0000 0.0000 (multiplicity 3)
Al 0.0000 0.0000 0.2563 (multiplicity 3)
Se 0.0000 0.0000 0.7158 (multiplicity 3)
Cl 0.0000 0.0000 0.5307 (multiplicity 3)



Record 2
Below is BaHgP after structural relaxation, with properties calculated at the PBE level.

Values from the calculation:
The crystal system is cubic. Its energy of formation is -0.15 eV per atom. The calculation puts the offset from the most stable computed form at 1.14 eV/f.u.

Cell: 7.575 7.575 7.575 Å, 90.00 90.00 90.00°
Space group F-43m (No. 216)
Inequivalent atoms, fractional coordinates:
Ba 0.000 0.000 0.000 (multiplicity 4)
Hg 0.250 0.250 0.250 (multiplicity 4)
P 0.250 0.250 0.750 (multiplicity 4)



Record 3
Below is Zr2TiAl after structural relaxation, with properties calculated at the PBE level.

Values from the calculation:
The crystal system is tetragonal. Its energy of formation is -0.18 eV per atom.

Cell: 3.550 3.550 6.316 Å, 90.00 90.00 90.00°
Space group P4/mmm (No. 123)
Inequivalent atoms, fractional coordinates:
Zr 0.000 0.000 0.248 (multiplicity 2)
Ti 0.500 0.500 0.000 (multiplicity 1)
Al 0.500 0.500 0.500 (multiplicity 1)



Record 4
Below is Ce6PuMnHg2 after structural relaxation, with properties calculated at the PBE level.

Values from the calculation:
The crystal system is tetragonal. Its energy of formation is -0.18 eV per atom.

Cell: 7.258 7.258 10.073 Å, 90.00 90.00 90.00°
Space group I4mm (No. 107)
Inequivalent atoms, fractional coordinates:
Ce 0.000 0.000 0.000 (multiplicity 2)
Ce 0.000 0.000 0.493 (multiplicity 2)
Ce 0.240 0.240 0.244 (multiplicity 8)
Pu 0.000 0.000 0.242 (multiplicity 2)
Mn 0.000 0.000 0.714 (multiplicity 2)
Hg 0.000 0.500 0.489 (multiplicity 4)



Record 5
Below is ZrAlIr2 after structural relaxation, with properties calculated at the PBE level.

Values from the calculation:
The crystal system is trigonal. Its energy of formation is -0.45 eV per atom.

Cell: 2.9641 2.9641 25.5522 Å, 90.00 90.00 120.00°
Space group R-3m (No. 166, hexagonal axes)
Inequivalent atoms, fractional coordinates:
Zr 0.0000 0.0000 0.0000 (multiplicity 3)
Al 0.0000 0.0000 0.5000 (multiplicity 3)
Ir 0.0000 0.0000 0.2428 (multiplicity 6)



Record 6
Below is SiP2S2 after structural relaxation, with properties calculated at the PBE level.

Values from the calculation:
The crystal system is tetragonal. The calculation puts the offset from the most stable computed form at 0.00 eV/f.u.

Cell: 4.506 4.506 4.469 Å, 90.00 90.00 90.00°
Space group P4/mmm (No. 123)
Inequivalent atoms, fractional coordinates:
Si 0.000 0.000 0.000 (multiplicity 1)
P 0.500 0.500 0.000 (multiplicity 1)
P 0.500 0.500 0.500 (multiplicity 1)
S 0.000 0.500 0.500 (multiplicity 2)



Result set for DOS(E_F): 0.9, 13.3, 5.9, 27.6, 10.5, 2.7 states/eV/cell, one per record in the order listed.
Result set for calculated total energy: -3.8388, -2.6967, -7.3628, -6.1495, -7.9543, -4.1482 eV per atom, one per record in the order listed.